1.
First-principles (GGA+U) data for a relaxed NaNiCO4 crystal, as listed in Alexandria.

raw total energy: -81.10 eV for the cell shown
total magnetic moment: 5.58 μB/cell
symmetry: Cmcm (63)

Cell: 4.746 4.746 6.598 Å, 90.00 90.00 117.15°
Positions (direct):
Na1 0.815 0.185 0.250
Na2 0.185 0.815 0.750
Ni1 0.500 0.500 0.500
Ni2 0.500 0.500 0.000
C1 0.159 0.841 0.250
C2 0.841 0.159 0.750
O1 0.176 0.294 0.750
O2 0.706 0.824 0.750
O3 0.745 0.255 0.924
O4 0.745 0.255 0.576
O5 0.255 0.745 0.076
O6 0.255 0.745 0.424
O7 0.824 0.706 0.250
O8 0.294 0.176 0.250


2.
First-principles (GGA+U) data for a relaxed Na2NiCO4 crystal, as listed in Alexandria.

raw total energy: -86.17 eV for the cell shown
total magnetic moment: 4.00 μB/cell
symmetry: C2/c (15)

Cell: 6.811 6.811 8.718 Å, 129.69 129.69 66.77°
Positions (direct):
Na1 0.500 0.000 0.000
Na2 0.500 0.000 0.500
Na3 0.000 0.000 0.500
Na4 0.500 0.500 0.000
Ni1 0.000 0.500 0.000
Ni2 0.000 0.500 0.500
C1 0.500 0.500 0.500
C2 0.000 0.000 0.000
O1 0.204 0.912 0.058
O2 0.588 0.296 0.442
O3 0.412 0.704 0.558
O4 0.796 0.088 0.942
O5 0.784 0.718 0.066
O6 0.782 0.716 0.434
O7 0.218 0.284 0.566
O8 0.216 0.282 0.934


3.
First-principles (GGA+U) data for a relaxed NaNi3C4O12 crystal, as listed in Alexandria.

raw total energy: -131.89 eV for the cell shown
total magnetic moment: 5.00 μB/cell
symmetry: R32 (155)

Cell: 6.087 6.087 6.087 Å, 102.91 102.91 102.91°
Positions (direct):
Na1 0.000 0.000 0.000
Ni1 0.543 0.457 0.000
Ni2 0.457 0.000 0.543
Ni3 0.000 0.543 0.457
C1 0.956 0.044 0.500
C2 0.044 0.500 0.956
C3 0.500 0.956 0.044
C4 0.500 0.500 0.500
O1 0.500 0.364 0.636
O2 0.907 0.500 0.093
O3 0.093 0.907 0.500
O4 0.500 0.093 0.907
O5 0.387 0.984 0.198
O6 0.198 0.387 0.984
O7 0.984 0.198 0.387
O8 0.613 0.802 0.016
O9 0.016 0.613 0.802
O10 0.802 0.016 0.613
O11 0.636 0.500 0.364
O12 0.364 0.636 0.500


4.
First-principles (GGA+U) data for a relaxed NaNiC2O crystal, as listed in Alexandria.

raw total energy: -11.17 eV for the cell shown
total magnetic moment: 0.36 μB/cell
symmetry: P4/mmm (123)

Cell: 4.164 3.859 4.164 Å, 90.00 90.00 90.00°
Positions (direct):
Ni1 0.500 0.500 0.500
C1 0.000 0.000 0.500
C2 0.500 0.000 0.000
O1 0.000 0.500 0.000
Na1 0.000 0.000 0.000


5.
First-principles (GGA+U) data for a relaxed NaNi2C2O6 crystal, as listed in Alexandria.

raw total energy: -67.41 eV for the cell shown
total magnetic moment: 3.00 μB/cell
symmetry: P-1 (2)

Cell: 5.044 5.197 5.852 Å, 92.81 67.56 68.27°
Positions (direct):
Na1 0.500 0.000 0.500
Ni1 0.791 0.293 0.758
Ni2 0.209 0.707 0.242
C1 0.198 0.639 0.745
C2 0.802 0.361 0.255
O1 0.378 0.673 0.847
O2 0.846 0.586 0.261
O3 0.083 0.838 0.635
O4 0.154 0.414 0.739
O5 0.917 0.162 0.365
O6 0.622 0.327 0.153


6.
First-principles (GGA+U) data for a relaxed Na3Ni2P2C2O14 crystal, as listed in Alexandria.

raw total energy: -289.37 eV for the cell shown
total magnetic moment: 1.90 μB/cell
symmetry: Pc (7)

Cell: 18.118 5.156 6.543 Å, 90.00 90.00 88.08°
Positions (direct):
Na1 0.125 0.243 0.030
Na2 0.375 0.758 0.510
Na3 0.379 0.756 0.983
Na4 0.625 0.243 0.470
Na5 0.879 0.756 0.517
Na6 0.875 0.758 0.990
Ni1 0.175 0.790 0.740
Ni2 0.323 0.213 0.242
Ni3 0.675 0.790 0.760
Ni4 0.823 0.213 0.258
P1 0.213 0.714 0.242
P2 0.286 0.284 0.745
P3 0.713 0.714 0.258
P4 0.786 0.284 0.755
C1 0.040 0.722 0.753
C2 0.457 0.274 0.255
C3 0.540 0.722 0.747
C4 0.957 0.274 0.245
O1 0.025 0.304 0.232
O2 0.069 0.948 0.750
O3 0.089 0.533 0.751
O4 0.164 0.795 0.058
O5 0.168 0.787 0.433
O6 0.212 0.148 0.760
O7 0.230 0.416 0.231
O8 0.272 0.586 0.744
O9 0.288 0.850 0.238
O10 0.331 0.200 0.555
O11 0.337 0.210 0.929
O12 0.409 0.468 0.249
O13 0.427 0.048 0.248
O14 0.471 0.691 0.742
O15 0.525 0.304 0.268
O16 0.569 0.948 0.750
O17 0.589 0.533 0.749
O18 0.668 0.787 0.067
O19 0.664 0.795 0.442
O20 0.712 0.148 0.740
O21 0.730 0.416 0.269
O22 0.772 0.586 0.756
O23 0.788 0.850 0.262
O24 0.837 0.210 0.571
O25 0.831 0.200 0.945
O26 0.909 0.468 0.251
O27 0.927 0.048 0.252
O28 0.971 0.691 0.758


7.
First-principles (GGA+U) data for a relaxed Na6Ni2PC4O16 crystal, as listed in Alexandria.

raw total energy: -365.25 eV for the cell shown
total magnetic moment: 8.50 μB/cell
symmetry: Fd-3 (203)

Cell: 9.880 9.880 9.880 Å, 60.00 60.00 60.00°
Positions (direct):
Na1 0.036 0.464 0.036
Na2 0.214 0.786 0.786
Na3 0.036 0.036 0.464
Na4 0.464 0.464 0.036
Na5 0.786 0.214 0.214
Na6 0.786 0.214 0.786
Na7 0.464 0.036 0.036
Na8 0.464 0.036 0.464
Na9 0.786 0.786 0.214
Na10 0.214 0.214 0.786
Na11 0.036 0.464 0.464
Na12 0.214 0.786 0.214
Ni1 0.625 0.125 0.625
Ni2 0.625 0.625 0.125
Ni3 0.125 0.625 0.625
Ni4 0.625 0.625 0.625
P1 0.250 0.250 0.250
P2 0.000 0.000 0.000
C1 0.841 0.476 0.841
C2 0.841 0.841 0.841
C3 0.841 0.841 0.476
C4 0.476 0.841 0.841
C5 0.774 0.409 0.409
C6 0.409 0.409 0.774
C7 0.409 0.409 0.409
C8 0.409 0.774 0.409
O1 0.431 0.526 0.777
O2 0.266 0.777 0.526
O3 0.819 0.473 0.984
O4 0.984 0.724 0.819
O5 0.724 0.473 0.819
O6 0.443 0.186 0.186
O7 0.984 0.819 0.473
O8 0.186 0.186 0.443
O9 0.186 0.186 0.186
O10 0.724 0.819 0.984
O11 0.819 0.984 0.724
O12 0.186 0.443 0.186
O13 0.473 0.724 0.984
O14 0.724 0.984 0.473
O15 0.473 0.819 0.724
O16 0.777 0.266 0.431
O17 0.473 0.984 0.819
O18 0.777 0.431 0.526
O19 0.526 0.266 0.777
O20 0.777 0.526 0.266
O21 0.064 0.807 0.064
O22 0.431 0.266 0.526
O23 0.526 0.431 0.266
O24 0.064 0.064 0.064
O25 0.064 0.064 0.807
O26 0.266 0.431 0.777
O27 0.807 0.064 0.064
O28 0.526 0.777 0.431
O29 0.266 0.526 0.431
O30 0.431 0.777 0.266
O31 0.984 0.473 0.724
O32 0.819 0.724 0.473


8.
First-principles (GGA+U) data for a relaxed Na2NiPCO7 crystal, as listed in Alexandria.

raw total energy: -150.48 eV for the cell shown
total magnetic moment: 1.93 μB/cell
symmetry: P2_1/m (11)

Cell: 6.622 5.146 8.964 Å, 88.54 90.00 90.00°
Positions (direct):
Na1 0.011 0.243 0.248
Na2 0.489 0.243 0.248
Na3 0.511 0.757 0.752
Na4 0.989 0.757 0.752
Ni1 0.750 0.788 0.356
Ni2 0.250 0.212 0.644
P1 0.250 0.713 0.422
P2 0.750 0.287 0.578
C1 0.750 0.728 0.079
C2 0.250 0.272 0.921
O1 0.250 0.298 0.061
O2 0.750 0.953 0.141
O3 0.750 0.532 0.174
O4 0.062 0.794 0.330
O5 0.438 0.794 0.330
O6 0.750 0.159 0.424
O7 0.250 0.409 0.448
O8 0.750 0.591 0.552
O9 0.250 0.841 0.576
O10 0.562 0.206 0.670
O11 0.938 0.206 0.670
O12 0.250 0.468 0.826
O13 0.250 0.047 0.859
O14 0.750 0.702 0.939